# 1
! Cs2BaFeCl6 PBE relaxed; values from VASP
! **Energy**: -40.5 eV for the cell shown
! **SG**: Fm-3m (225)
! **ρ**: 3.33 g/cm³
&SYSTEM
  ibrav = 0, nat = 10, ntyp = 4
/
ATOMIC_SPECIES
Cs 132.91 Cs.upf
Ba 137.33 Ba.upf
Fe 55.84 Fe.upf
Cl 35.45 Cl.upf
ATOMIC_POSITIONS crystal
Cs 0.250 0.250 0.250
Cs 0.750 0.750 0.750
Ba 0.000 0.000 0.000
Fe 0.500 0.500 0.500
Cl 0.274 0.274 0.726
Cl 0.274 0.726 0.274
Cl 0.274 0.726 0.726
Cl 0.726 0.274 0.274
Cl 0.726 0.274 0.726
Cl 0.726 0.726 0.274
CELL_PARAMETERS angstrom
0.000 5.512 5.512
5.512 0.000 5.512
5.512 5.512 0.000

---

# 2
! CsBaGa2Cl8 PBE relaxed; values from VASP
! **Energy**: -41.7 eV for the cell shown
! **SG**: R-3 (148)
! **ρ**: 2.74 g/cm³
&SYSTEM
  ibrav = 0, nat = 12, ntyp = 4
/
ATOMIC_SPECIES
Cs 132.91 Cs.upf
Ba 137.33 Ba.upf
Ga 69.72 Ga.upf
Cl 35.45 Cl.upf
ATOMIC_POSITIONS crystal
Cs 0.000 0.000 0.000
Ba 0.500 0.500 0.500
Ga 0.254 0.254 0.254
Ga 0.746 0.746 0.746
Cl 0.073 0.441 0.801
Cl 0.199 0.927 0.559
Cl 0.329 0.329 0.329
Cl 0.441 0.801 0.073
Cl 0.559 0.199 0.927
Cl 0.671 0.671 0.671
Cl 0.801 0.073 0.441
Cl 0.927 0.559 0.199
CELL_PARAMETERS angstrom
3.478 2.008 10.025
-3.478 2.008 10.025
0.000 -4.016 10.025

---

# 3
! CsBa3Ga5Se10Cl2 PBE relaxed; values from VASP
! **Energy**: -87.0 eV for the cell shown
! **SG**: P1 (1)
! **ρ**: 4.62 g/cm³
&SYSTEM
  ibrav = 0, nat = 21, ntyp = 5
/
ATOMIC_SPECIES
Cs 132.91 Cs.upf
Ba 137.33 Ba.upf
Ga 69.72 Ga.upf
Se 78.96 Se.upf
Cl 35.45 Cl.upf
ATOMIC_POSITIONS crystal
Cs 0.000 0.000 0.000
Ba 0.149 0.874 0.544
Ba 0.257 0.522 0.997
Ba 0.625 0.162 0.540
Ga 0.031 0.385 0.436
Ga 0.514 0.644 0.769
Ga 0.579 0.122 0.105
Ga 0.655 0.580 0.439
Ga 0.760 0.492 0.088
Se 0.050 0.470 0.242
Se 0.310 0.369 0.624
Se 0.382 0.839 0.924
Se 0.445 0.306 0.264
Se 0.546 0.777 0.617
Se 0.552 0.218 0.907
Se 0.673 0.711 0.278
Se 0.788 0.572 0.899
Se 0.848 0.105 0.303
Se 0.950 0.603 0.627
Cl 0.008 0.159 0.749
Cl 0.273 0.885 0.293
CELL_PARAMETERS angstrom
8.831 0.000 0.000
-0.025 9.003 0.000
-4.291 -4.490 7.929

---

# 4
! Cs2BaGeCl6 PBE relaxed; values from VASP
! **Energy**: -37.1 eV for the cell shown
! **SG**: Fm-3m (225)
! **Polymorph energy (0 for the lowest one)**: 13 meV per atom
! **ρ**: 3.10 g/cm³
&SYSTEM
  ibrav = 0, nat = 10, ntyp = 4
/
ATOMIC_SPECIES
Cs 132.91 Cs.upf
Ba 137.33 Ba.upf
Ge 72.64 Ge.upf
Cl 35.45 Cl.upf
ATOMIC_POSITIONS crystal
Cs 0.250 0.250 0.250
Cs 0.750 0.750 0.750
Ba 0.000 0.000 0.000
Ge 0.500 0.500 0.500
Cl 0.265 0.265 0.735
Cl 0.265 0.735 0.265
Cl 0.265 0.735 0.735
Cl 0.735 0.265 0.265
Cl 0.735 0.265 0.735
Cl 0.735 0.735 0.265
CELL_PARAMETERS angstrom
0.000 5.694 5.694
5.694 0.000 5.694
5.694 5.694 0.000

---

Copy entry 4 word for word.
! Cs2BaGeCl6 PBE relaxed; values from VASP
! **Energy**: -37.1 eV for the cell shown
! **SG**: Fm-3m (225)
! **Polymorph energy (0 for the lowest one)**: 13 meV per atom
! **ρ**: 3.10 g/cm³
&SYSTEM
  ibrav = 0, nat = 10, ntyp = 4
/
ATOMIC_SPECIES
Cs 132.91 Cs.upf
Ba 137.33 Ba.upf
Ge 72.64 Ge.upf
Cl 35.45 Cl.upf
ATOMIC_POSITIONS crystal
Cs 0.250 0.250 0.250
Cs 0.750 0.750 0.750
Ba 0.000 0.000 0.000
Ge 0.500 0.500 0.500
Cl 0.265 0.265 0.735
Cl 0.265 0.735 0.265
Cl 0.265 0.735 0.735
Cl 0.735 0.265 0.265
Cl 0.735 0.265 0.735
Cl 0.735 0.735 0.265
CELL_PARAMETERS angstrom
0.000 5.694 5.694
5.694 0.000 5.694
5.694 5.694 0.000

---

What is the formula in the second record? CsBaGa2Cl8

---

Please write out number 2 again, unchanged.
! CsBaGa2Cl8 PBE relaxed; values from VASP
! **Energy**: -41.7 eV for the cell shown
! **SG**: R-3 (148)
! **ρ**: 2.74 g/cm³
&SYSTEM
  ibrav = 0, nat = 12, ntyp = 4
/
ATOMIC_SPECIES
Cs 132.91 Cs.upf
Ba 137.33 Ba.upf
Ga 69.72 Ga.upf
Cl 35.45 Cl.upf
ATOMIC_POSITIONS crystal
Cs 0.000 0.000 0.000
Ba 0.500 0.500 0.500
Ga 0.254 0.254 0.254
Ga 0.746 0.746 0.746
Cl 0.073 0.441 0.801
Cl 0.199 0.927 0.559
Cl 0.329 0.329 0.329
Cl 0.441 0.801 0.073
Cl 0.559 0.199 0.927
Cl 0.671 0.671 0.671
Cl 0.801 0.073 0.441
Cl 0.927 0.559 0.199
CELL_PARAMETERS angstrom
3.478 2.008 10.025
-3.478 2.008 10.025
0.000 -4.016 10.025

---

What is the formula in the third record? CsBa3Ga5Se10Cl2